(1)
# RbMnAsO3

An optimized crystal structure of RbMnAsO3 (PBE+U, the Alexandria database).

Lattice parameters (Å, degrees): 4.3126 6.6467 8.1721 90.00 90.00 108.93
Last column: nearest neighbours and their distance in Å.
Fractional coordinates of all 12 atoms:
O 0.3894 0.7789 0.5761  1 As 1.79
O 0.9959 0.9918 0.7500  2 Mn 2.04, 2 As 2.17
O 0.3894 0.7789 0.9239  1 As 1.79
O 0.6106 0.2211 0.0761  1 As 1.79
O 0.0041 0.0082 0.2500  2 Mn 2.04, 2 As 2.17
O 0.6106 0.2211 0.4239  1 As 1.79
Mn 0.0000 0.0000 0.0000  2 O 2.04
Mn 0.0000 0.0000 0.5000  2 O 2.04
Rb 0.2535 0.5070 0.2500  7 O 3.14-3.17, 1 As 3.40
Rb 0.7465 0.4930 0.7500  7 O 3.14-3.17, 1 As 3.40
As 0.5238 0.0475 0.2500  2 O 1.79
As 0.4762 0.9525 0.7500  2 O 1.79

DFT total energy in eV per cell: -71.7
Total magnetization in μB/f.u.: 5.001
Calculated volume in Å³ per cell: 222



(2)
# RbMn2AsO

An optimized crystal structure of RbMn2AsO (PBE+U, the Alexandria database).

Lattice parameters (Å, degrees): 7.4938 6.6309 7.4938 90.00 90.00 90.00
Last column: nearest neighbours and their distance in Å.
Fractional coordinates of all 5 atoms:
O 0.5000 0.5000 0.5000  8 Mn 5.00, 4 As 5.30
As 0.0000 0.5000 0.0000  2 Rb 3.32
Mn 0.0000 0.0000 0.5000  2 Rb 3.75
Mn 0.5000 0.0000 0.0000  2 Rb 3.75
Rb 0.0000 0.0000 0.0000  2 As 3.32

DFT total energy in eV per cell: -16.2
Total magnetization in μB/f.u.: 9.243
Calculated volume in Å³ per cell: 372



(3)
# RbMnAsO6

An optimized crystal structure of RbMnAsO6 (PBE+U, the Alexandria database).

Lattice parameters (Å, degrees): 4.9827 4.9827 6.5205 90.00 90.00 60.00
Last column: nearest neighbours and their distance in Å.
Fractional coordinates of all 9 atoms:
As 0.3333 0.3333 0.5000  6 O 1.86
O 0.6189 0.3726 0.6609  1 As 1.86, 1 Mn 1.91
O 0.6190 0.0084 0.3391  1 As 1.86, 1 Mn 1.91
O 0.3726 0.6189 0.3391  1 As 1.86, 1 Mn 1.91
O 0.0084 0.6190 0.6609  1 As 1.86, 1 Mn 1.91
O 0.0084 0.3726 0.3391  1 As 1.86, 1 Mn 1.91
O 0.3725 0.0085 0.6609  1 As 1.86, 1 Mn 1.91
Rb 0.0000 0.0000 0.0000  6 O 2.90
Mn 0.6666 0.6667 0.5000  6 O 1.91

DFT total energy in eV per cell: -52.4
Total magnetization in μB/f.u.: 1.000
Calculated volume in Å³ per cell: 140



(4)
# RbMn4As3O12

An optimized crystal structure of RbMn4As3O12 (PBE+U, the Alexandria database).

Lattice parameters (Å, degrees): 6.6577 10.3360 17.6525 90.00 90.00 90.00
Last column: nearest neighbours and their distance in Å.
Fractional coordinates of all 80 atoms:
O 0.2918 0.5946 0.1185  1 As 1.70
O 0.2082 0.9054 0.6185  1 As 1.70
O 0.7849 0.6052 0.6836  1 As 1.71
O 0.0000 0.1363 0.9503  1 As 1.69
O 0.5000 0.8898 0.3135  1 As 1.76
O 0.0000 0.8771 0.3216  1 As 1.74
O 0.5000 0.1281 0.5197  1 As 1.73
O 0.5000 0.6169 0.2568  1 As 1.78
O 0.0000 0.6281 0.9803  1 As 1.73
O 0.7151 0.1052 0.8164  1 As 1.71
O 0.5000 0.3831 0.7432  1 As 1.78
O 0.0000 0.3898 0.1865  1 As 1.76
O 0.5000 0.3637 0.4503  1 As 1.69
O 0.5000 0.8719 0.4803  1 As 1.73
O 0.7022 0.3420 0.5920  1 As 1.74
O 0.0000 0.3719 0.0197  1 As 1.73
O 0.5000 0.6363 0.5497  1 As 1.69
O 0.0000 0.1169 0.2432  1 As 1.78
O 0.5000 0.8759 0.7710  1 As 1.72
O 0.7918 0.9054 0.6185  1 As 1.70
O 0.7082 0.5946 0.1185  1 As 1.70
O 0.2978 0.6580 0.4080  1 As 1.74
O 0.0000 0.1229 0.6784  1 As 1.74
O 0.2022 0.1580 0.0920  1 As 1.74
O 0.2022 0.8420 0.9080  1 As 1.74
O 0.5000 0.1241 0.2290  1 As 1.72
O 0.7151 0.8948 0.1836  1 As 1.71
O 0.2918 0.4054 0.8815  1 As 1.70
O 0.0000 0.6241 0.2710  1 As 1.72
O 0.2849 0.8948 0.1836  1 As 1.71
O 0.7978 0.8420 0.9080  1 As 1.74
O 0.2151 0.6052 0.6836  1 As 1.71
O 0.7918 0.0946 0.3815  1 As 1.70
O 0.2082 0.0946 0.3815  1 As 1.70
O 0.0000 0.8831 0.7568  1 As 1.78
O 0.0000 0.3759 0.7290  1 As 1.72
O 0.2151 0.3948 0.3164  1 As 1.71
O 0.5000 0.3771 0.1784  1 As 1.74
O 0.7082 0.4054 0.8815  1 As 1.70
O 0.5000 0.1102 0.6865  1 As 1.76
O 0.7022 0.6580 0.4080  1 As 1.74
O 0.2978 0.3420 0.5920  1 As 1.74
O 0.2849 0.1052 0.8164  1 As 1.71
O 0.0000 0.6102 0.8135  1 As 1.76
O 0.5000 0.6229 0.8216  1 As 1.74
O 0.7978 0.1580 0.0920  1 As 1.74
O 0.7849 0.3948 0.3164  1 As 1.71
O 0.0000 0.8637 0.0497  1 As 1.69
Mn 0.2478 0.2510 0.7019  5 O 2.15-2.28
Mn 0.5000 0.4801 0.3559  4 O 2.06-2.25
Mn 0.0000 0.4628 0.9077  5 O 2.08-2.26
Mn 0.0000 0.0199 0.8559  4 O 2.06-2.25
Mn 0.7478 0.2490 0.2019  5 O 2.15-2.28
Mn 0.7478 0.7510 0.7981  5 O 2.15-2.28
Mn 0.2522 0.7510 0.7981  5 O 2.15-2.28
Mn 0.0000 0.9801 0.1441  4 O 2.06-2.25
Mn 0.5000 0.5199 0.6441  4 O 2.06-2.25
Mn 0.7522 0.7490 0.2981  5 O 2.15-2.28
Mn 0.5000 0.0372 0.4077  5 O 2.08-2.26
Mn 0.2522 0.2490 0.2019  5 O 2.15-2.28
Mn 0.5000 0.9628 0.5923  5 O 2.08-2.26
Mn 0.7522 0.2510 0.7019  5 O 2.15-2.28
Mn 0.2478 0.7490 0.2981  5 O 2.15-2.28
Mn 0.0000 0.5372 0.0923  5 O 2.08-2.26
As 0.5000 0.0421 0.7780  4 O 1.71-1.76
As 0.5000 0.7074 0.4634  4 O 1.69-1.74
As 0.5000 0.9579 0.2220  4 O 1.71-1.76
As 0.0000 0.0439 0.3345  4 O 1.70-1.78
As 0.5000 0.5439 0.1655  4 O 1.70-1.78
As 0.5000 0.4561 0.8345  4 O 1.70-1.78
As 0.0000 0.5421 0.7220  4 O 1.71-1.76
As 0.0000 0.9561 0.6655  4 O 1.70-1.78
As 0.0000 0.2074 0.0366  4 O 1.69-1.74
As 0.0000 0.4579 0.2780  4 O 1.71-1.76
As 0.0000 0.7926 0.9634  4 O 1.69-1.74
As 0.5000 0.2926 0.5366  4 O 1.69-1.74
Rb 0.5000 0.1984 0.9650  6 O 2.94-3.14
Rb 0.0000 0.3016 0.4650  6 O 2.94-3.14
Rb 0.0000 0.6984 0.5350  6 O 2.95-3.14
Rb 0.5000 0.8016 0.0350  6 O 2.94-3.14

DFT total energy in eV per cell: -542.6
Total magnetization in μB/f.u.: 20.000
Calculated volume in Å³ per cell: 1215



(5)
# MnAs2RhO8

An optimized crystal structure of MnAs2RhO8 (PBE+U, the Alexandria database).

Lattice parameters (Å, degrees): 5.4800 5.4800 6.2156 90.00 90.00 120.00
Last column: nearest neighbours and their distance in Å.
Fractional coordinates of all 12 atoms:
O 0.6889 0.8445 0.7799  1 As 1.75
O 0.8445 0.1555 0.2201  1 As 1.75
O 0.1555 0.3111 0.7799  1 As 1.75
O 0.6667 0.3333 0.5611  1 As 1.66
O 0.3333 0.6667 0.4389  1 As 1.66
O 0.8445 0.6889 0.2201  1 As 1.75
O 0.3111 0.1555 0.2201  1 As 1.75
O 0.1555 0.8445 0.7799  1 As 1.75
Mn 0.0000 0.0000 0.5000  6 O 2.28
As 0.3333 0.6667 0.7065  4 O 1.66-1.75
As 0.6667 0.3333 0.2935  4 O 1.66-1.75
Rh 0.0000 0.0000 0.0000  6 O 2.01

DFT total energy in eV per cell: -75.3
Total magnetization in μB/f.u.: 3.950
Calculated volume in Å³ per cell: 162



(6)
# MnAsRhO6

An optimized crystal structure of MnAsRhO6 (PBE+U, the Alexandria database).

Lattice parameters (Å, degrees): 5.0386 5.0386 9.0824 90.00 90.00 120.00
Last column: nearest neighbours and their distance in Å.
Fractional coordinates of all 18 atoms:
As 0.3333 0.6667 0.7500  6 O 1.87
As 0.6667 0.3333 0.2500  6 O 1.87
Mn 0.0000 0.0000 0.0000  6 O 2.18
Mn 0.0000 0.0000 0.5000  6 O 2.18
O 0.3492 0.9832 0.6354  1 As 1.87, 1 Rh 1.98
O 0.0168 0.6508 0.8646  1 As 1.87, 1 Rh 1.98
O 0.3661 0.3492 0.3646  1 As 1.87, 1 Rh 1.98
O 0.9832 0.3492 0.1354  1 As 1.87, 1 Rh 1.98
O 0.0168 0.3661 0.6354  1 As 1.87, 1 Rh 1.98
O 0.3661 0.0168 0.1354  1 As 1.87, 1 Rh 1.98
O 0.6339 0.6508 0.6354  1 As 1.87, 1 Rh 1.98
O 0.6339 0.9832 0.8646  1 As 1.87, 1 Rh 1.98
O 0.6508 0.0168 0.3646  1 As 1.87, 1 Rh 1.98
O 0.9832 0.6339 0.3646  1 As 1.87, 1 Rh 1.98
O 0.6508 0.6339 0.1354  1 As 1.87, 1 Rh 1.98
O 0.3492 0.3661 0.8646  1 As 1.87, 1 Rh 1.98
Rh 0.6667 0.3333 0.7500  6 O 1.98
Rh 0.3333 0.6667 0.2500  6 O 1.98

DFT total energy in eV per cell: -118.3
Total magnetization in μB/f.u.: 2.963
Calculated volume in Å³ per cell: 200



(7)
# ScMn2AsO6

An optimized crystal structure of ScMn2AsO6 (PBE+U, the Alexandria database).

Lattice parameters (Å, degrees): 5.3273 5.2111 5.7456 62.59 59.67 63.83
Last column: nearest neighbours and their distance in Å.
Fractional coordinates of all 10 atoms:
O 0.6485 0.2217 0.2114  1 As 1.90, 1 Mn 2.03
O 0.6812 0.1406 0.7607  1 As 1.92
O 0.2459 0.9001 0.2707  1 As 1.91, 1 Mn 2.00
O 0.1199 0.4016 0.7045  2 Mn 1.98-2.00, 1 Sc 2.07
O 0.3963 0.7462 0.7557  1 Mn 1.94, 1 Sc 2.01
O 0.8676 0.6592 0.2535  2 Mn 1.96-2.00, 1 Sc 2.12
Mn 0.5000 0.5235 0.4564  4 O 1.96-2.18
Mn 0.0254 0.0065 0.9454  4 O 1.94-2.03
Sc 0.8148 0.7954 0.5755  5 O 2.01-2.19
As 0.3621 0.2667 0.0814  3 O 1.90-1.92

DFT total energy in eV per cell: -74.2
Total magnetization in μB/f.u.: 8.000
Calculated volume in Å³ per cell: 118



(8)
# MnAsSe2O

An optimized crystal structure of MnAsSe2O (PBE+U, the Alexandria database).

Lattice parameters (Å, degrees): 4.5678 4.5678 4.6823 90.00 90.00 90.00
Last column: nearest neighbours and their distance in Å.
Fractional coordinates of all 5 atoms:
As 0.0000 0.0000 0.5000  2 Mn 2.34
O 0.5000 0.5000 0.5000  4 As 3.23, 8 Se 3.27
Se 0.5000 0.0000 0.0000  2 Mn 2.28
Se 0.0000 0.5000 0.0000  2 Mn 2.28
Mn 0.0000 0.0000 0.0000  4 Se 2.28, 2 As 2.34

Total magnetization in μB/f.u.: 0.157
Calculated volume in Å³ per cell: 98
E above lowest polymorph in meV per atom: 999.1



What did the sixth record say?
# MnAsRhO6

An optimized crystal structure of MnAsRhO6 (PBE+U, the Alexandria database).

Lattice parameters (Å, degrees): 5.0386 5.0386 9.0824 90.00 90.00 120.00
Last column: nearest neighbours and their distance in Å.
Fractional coordinates of all 18 atoms:
As 0.3333 0.6667 0.7500  6 O 1.87
As 0.6667 0.3333 0.2500  6 O 1.87
Mn 0.0000 0.0000 0.0000  6 O 2.18
Mn 0.0000 0.0000 0.5000  6 O 2.18
O 0.3492 0.9832 0.6354  1 As 1.87, 1 Rh 1.98
O 0.0168 0.6508 0.8646  1 As 1.87, 1 Rh 1.98
O 0.3661 0.3492 0.3646  1 As 1.87, 1 Rh 1.98
O 0.9832 0.3492 0.1354  1 As 1.87, 1 Rh 1.98
O 0.0168 0.3661 0.6354  1 As 1.87, 1 Rh 1.98
O 0.3661 0.0168 0.1354  1 As 1.87, 1 Rh 1.98
O 0.6339 0.6508 0.6354  1 As 1.87, 1 Rh 1.98
O 0.6339 0.9832 0.8646  1 As 1.87, 1 Rh 1.98
O 0.6508 0.0168 0.3646  1 As 1.87, 1 Rh 1.98
O 0.9832 0.6339 0.3646  1 As 1.87, 1 Rh 1.98
O 0.6508 0.6339 0.1354  1 As 1.87, 1 Rh 1.98
O 0.3492 0.3661 0.8646  1 As 1.87, 1 Rh 1.98
Rh 0.6667 0.3333 0.7500  6 O 1.98
Rh 0.3333 0.6667 0.2500  6 O 1.98

DFT total energy in eV per cell: -118.3
Total magnetization in μB/f.u.: 2.963
Calculated volume in Å³ per cell: 200